# 1
Computed, not measured: a geometry-optimized Ho4GeAu3 structure at the PBE level of DFT.

E_form ... -0.857 eV/atom
DOS(E_F) ... 5.7 states/eV/f.u.
V ... 23.70 Å³ per atom
Energy ... -4.952 eV/atom

a = 3.829 Å, b = 4.517 Å, c = 10.961 Å
α = 90.00°, β = 90.00°, γ = 90.00°
Element x y z (fractional)
Au  0.500  0.000  0.914
Au  0.000  0.000  0.411
Au  0.000  0.500  0.589
Ho  0.000  0.000  0.139
Ho  0.500  0.000  0.639
Ho  0.000  0.500  0.861
Ho  0.500  0.500  0.359
Ge  0.500  0.500  0.088

***

# 2
Computed, not measured: a geometry-optimized RbTa3Br structure at the PBE level of DFT.

Raw formation energy ... 9.85 eV/f.u.
DOS(E_F) ... 10.8 states/eV/f.u.
V ... 24.27 Å³ per atom
Energy ... -5.670 eV/atom

a = 4.951 Å, b = 4.951 Å, c = 4.951 Å
α = 90.00°, β = 90.00°, γ = 90.00°
Element x y z (fractional)
Ta  0.000  0.500  0.000
Ta  0.000  0.000  0.500
Ta  0.500  0.000  0.000
Br  0.000  0.000  0.000
Rb  0.500  0.500  0.500

***

# 3
Computed, not measured: a geometry-optimized Ca2Ge2Pd5Au structure at the PBE level of DFT.

E_form ... -0.615 eV/atom
DOS(E_F) ... 3.3 states/eV/f.u.
V ... 18.33 Å³ per atom
Energy ... -4.863 eV/atom

a = 3.595 Å, b = 10.099 Å, c = 10.099 Å
α = 90.00°, β = 90.00°, γ = 90.00°
Element x y z (fractional)
Ca  0.000  0.175  0.325
Ca  0.000  0.675  0.175
Ca  0.000  0.825  0.675
Ca  0.000  0.325  0.825
Pd  0.500  0.063  0.794
Pd  0.500  0.437  0.294
Pd  0.500  0.563  0.706
Pd  0.500  0.794  0.937
Pd  0.500  0.294  0.563
Pd  0.500  0.500  0.000
Pd  0.500  0.000  0.500
Pd  0.500  0.706  0.437
Pd  0.500  0.206  0.063
Pd  0.500  0.937  0.206
Ge  0.000  0.126  0.626
Ge  0.000  0.874  0.374
Ge  0.000  0.374  0.126
Ge  0.000  0.626  0.874
Au  0.000  0.000  0.000
Au  0.000  0.500  0.500

***

# 4
Computed, not measured: a geometry-optimized Ti3Ga3Cu structure at the PBE level of DFT.

E_form ... -0.354 eV/atom
DOS(E_F) ... 4.5 states/eV/f.u.
V ... 15.67 Å³ per atom
Energy ... -5.620 eV/atom

a = 3.086 Å, b = 5.448 Å, c = 13.726 Å
α = 84.50°, β = 83.55°, γ = 73.55°
Element x y z (fractional)
Ti  0.759  0.709  0.773
Ti  0.478  0.406  0.638
Ti  0.639  0.649  0.073
Ti  0.241  0.291  0.227
Ti  0.522  0.594  0.362
Ti  0.361  0.351  0.927
Cu  0.792  0.049  0.367
Cu  0.208  0.951  0.633
Ga  0.016  0.189  0.780
Ga  0.984  0.811  0.220
Ga  0.133  0.254  0.480
Ga  0.106  0.863  0.925
Ga  0.867  0.746  0.520
Ga  0.894  0.137  0.075

***

# 5
Computed, not measured: a geometry-optimized TeAs2Br structure at the PBE level of DFT.

Raw formation energy ... 0.47 eV/f.u.
DOS(E_F) ... 2.1 states/eV/f.u.
V ... 25.83 Å³ per atom
Energy ... -3.410 eV/atom

a = 9.075 Å, b = 9.075 Å, c = 9.075 Å
α = 23.38°, β = 23.38°, γ = 23.38°
Element x y z (fractional)
Te  0.734  0.734  0.734
As  0.985  0.985  0.985
As  0.263  0.263  0.263
Br  0.519  0.519  0.519

***

# 6
Computed, not measured: a geometry-optimized La2AlZn3Ag4 structure at the PBE level of DFT.

E_form ... -0.264 eV/atom
DOS(E_F) ... 4.7 states/eV/f.u.
V ... 21.48 Å³ per atom
Energy ... -3.146 eV/atom

a = 4.281 Å, b = 4.281 Å, c = 11.717 Å
α = 90.00°, β = 90.00°, γ = 90.00°
Element x y z (fractional)
Ag  0.000  0.500  0.363
Ag  0.500  0.500  0.000
Ag  0.000  0.000  0.000
Ag  0.500  0.000  0.637
La  0.000  0.500  0.750
La  0.500  0.000  0.250
Al  0.500  0.500  0.500
Zn  0.500  0.000  0.862
Zn  0.000  0.500  0.138
Zn  0.000  0.000  0.500

***

# 7
Computed, not measured: a geometry-optimized FeHRu structure at the PBE level of DFT.

DOS(E_F) ... 2.6 states/eV/f.u.
V ... 9.21 Å³ per atom
Energy ... -6.939 eV/atom

a = 5.096 Å, b = 5.096 Å, c = 5.451 Å
α = 105.21°, β = 105.21°, γ = 116.02°
Element x y z (fractional)
Ru  0.255  0.003  0.334
Ru  0.669  0.921  0.666
Ru  0.671  0.919  0.166
Ru  0.753  0.505  0.834
H  0.974  0.967  0.517
H  0.207  0.700  0.983
H  0.450  0.457  0.483
H  0.717  0.224  0.017
Fe  0.758  0.506  0.335
Fe  0.256  0.008  0.835
Fe  0.171  0.423  0.665
Fe  0.173  0.421  0.165

***

# 8
Computed, not measured: a geometry-optimized ZrIn2Ru2 structure at the PBE level of DFT.

E_form ... -0.094 eV/atom
DOS(E_F) ... 1.8 states/eV/f.u.
V ... 18.61 Å³ per atom
Energy ... -6.610 eV/atom

a = 7.413 Å, b = 7.413 Å, c = 3.386 Å
α = 90.00°, β = 90.00°, γ = 90.00°
Element x y z (fractional)
Ru  0.642  0.142  0.000
Ru  0.358  0.858  0.000
Ru  0.142  0.358  0.000
Ru  0.858  0.642  0.000
In  0.345  0.155  0.500
In  0.845  0.345  0.500
In  0.655  0.845  0.500
In  0.155  0.655  0.500
Zr  0.500  0.500  0.000
Zr  0.000  0.000  0.000

***

Please write out number 5 again, unchanged.
Computed, not measured: a geometry-optimized TeAs2Br structure at the PBE level of DFT.

Raw formation energy ... 0.47 eV/f.u.
DOS(E_F) ... 2.1 states/eV/f.u.
V ... 25.83 Å³ per atom
Energy ... -3.410 eV/atom

a = 9.075 Å, b = 9.075 Å, c = 9.075 Å
α = 23.38°, β = 23.38°, γ = 23.38°
Element x y z (fractional)
Te  0.734  0.734  0.734
As  0.985  0.985  0.985
As  0.263  0.263  0.263
Br  0.519  0.519  0.519